1.
A relaxed Na2CaPb2 crystal, computed with PBE-GGA.

Cell lengths 9.1715, 9.1715, 3.4835 Å; angles 90.00, 90.00, 90.00 degrees
Element x y z (fractional)
1 Pb 0.1836 0.6836 0.5000
2 Pb 0.6836 0.8164 0.5000
3 Pb 0.8164 0.3164 0.5000
4 Pb 0.3164 0.1836 0.5000
5 Na 0.3844 0.8844 0.0000
6 Na 0.8844 0.6156 0.0000
7 Na 0.6156 0.1156 0.0000
8 Na 0.1156 0.3844 0.0000
9 Ca 0.0000 0.0000 0.0000
10 Ca 0.5000 0.5000 0.0000

Properties
Offset from the most stable computed form (meV/atom): 87.8
Energy relative to the elements (meV/atom): -193
Energy (eV per atom): -2.6041

***

2.
A relaxed Ce2SeO crystal, computed with PBE-GGA.

Cell lengths 3.7025, 3.7025, 7.3799 Å; angles 75.47, 75.47, 60.00 degrees
Site moments in Bohr magnetons follow the coordinates.
Element x y z (fractional)
1 Ce 0.0929 0.0929 0.7214  0.90
2 Ce 0.2406 0.2406 0.2782  1.01
3 Se 0.6672 0.6672 0.9984  -0.02
4 O 0.4993 0.4993 0.5020  -0.03

Properties
Offset from the most stable computed form (meV/atom): 255.4
Raw formation energy (eV/f.u.): -7.89
Energy (eV per atom): -7.0498

***

3.
A relaxed AcAsS3 crystal, computed with PBE-GGA.

Cell lengths 4.0985, 8.1139, 8.4685 Å; angles 99.21, 104.00, 90.00 degrees
Element x y z (fractional)
1 Ac 0.8012 0.7522 0.6024
2 Ac 0.1988 0.2478 0.3976
3 As 0.5676 0.7283 0.1352
4 As 0.4324 0.2717 0.8648
5 S 0.9880 0.7719 0.9759
6 S 0.0120 0.2281 0.0241
7 S 0.3416 0.0295 0.6832
8 S 0.6584 0.9705 0.3168
9 S 0.1833 0.6123 0.3665
10 S 0.8167 0.3877 0.6335

Properties
Offset from the most stable computed form (meV/atom): 187.9
Raw formation energy (eV/f.u.): -4.95
Energy (eV per atom): -5.2185

***

4.
A relaxed TaNb2Re3 crystal, computed with PBE-GGA.

Cell lengths 3.2050, 3.2050, 9.6073 Å; angles 90.00, 90.00, 90.00 degrees
Element x y z (fractional)
1 Ta 0.5000 0.5000 0.5000
2 Nb 0.5000 0.5000 0.8334
3 Nb 0.5000 0.5000 0.1666
4 Re 0.0000 0.0000 0.0000
5 Re 0.0000 0.0000 0.6662
6 Re 0.0000 0.0000 0.3338

Properties
Energy relative to the elements (meV/atom): -325
Energy (eV per atom): -11.8813

***

5.
A relaxed BaYTe3 crystal, computed with PBE-GGA.

Cell lengths 5.8816, 5.8816, 5.8816 Å; angles 90.00, 90.00, 90.00 degrees
Element x y z (fractional)
1 Y 0.0000 0.0000 0.0000
2 Te 0.0000 0.5000 0.0000
3 Te 0.0000 0.0000 0.5000
4 Te 0.5000 0.0000 0.0000
5 Ba 0.5000 0.5000 0.5000

Properties
Offset from the most stable computed form (meV/atom): 0.0
Raw formation energy (eV/f.u.): -5.91
Energy (eV per atom): -4.7451

***

6.
A relaxed Sc3CdGa2 crystal, computed with PBE-GGA.

Cell lengths 3.2906, 3.2906, 11.0243 Å; angles 90.00, 90.00, 90.00 degrees
Element x y z (fractional)
1 Sc 0.0000 0.0000 0.0000
2 Sc 0.0000 0.0000 0.6837
3 Sc 0.0000 0.0000 0.3163
4 Cd 0.5000 0.5000 0.5000
5 Ga 0.5000 0.5000 0.8386
6 Ga 0.5000 0.5000 0.1614

Properties
Energy relative to the elements (meV/atom): -501
Energy (eV per atom): -4.8285

***

7.
A relaxed Pm6Y2Al crystal, computed with PBE-GGA.

Cell lengths 3.5795, 9.5146, 9.9246 Å; angles 118.63, 90.38, 90.00 degrees
Element x y z (fractional)
1 Pm 0.9976 0.3331 0.3260
2 Pm 0.0023 0.0073 0.6743
3 Pm 0.0024 0.6669 0.6740
4 Pm 0.4999 0.2879 0.0001
5 Pm 0.9977 0.9927 0.3257
6 Pm 0.5001 0.7121 0.9999
7 Y 0.4949 0.6766 0.3532
8 Y 0.5051 0.3234 0.6468
9 Al 0.0000 0.0000 0.0000

Properties
Energy relative to the elements (meV/atom): 66
Energy (eV per atom): -4.9531

***

8.
A relaxed Zr3InRe crystal, computed with PBE-GGA.

Cell lengths 5.0787, 5.0787, 5.0787 Å; angles 90.00, 90.00, 90.00 degrees
Element x y z (fractional)
1 Re 0.0000 0.0000 0.0000
2 Zr 0.0000 0.5000 0.0000
3 Zr 0.0000 0.0000 0.5000
4 Zr 0.5000 0.0000 0.0000
5 In 0.5000 0.5000 0.5000

Properties
Offset from the most stable computed form (meV/atom): 0.0
Energy relative to the elements (meV/atom): 432
Energy (eV per atom): -7.7347